## KPaIO5 (PBE-GGA)

Data for a geometry-optimized KPaIO5 structure.

Summary:
E_form (uncorrected): -1950 meV/atom
theoretical density: 5.5 Mg/m³
D(E_F): 0.21 states/eV per atom

```
data_KPaIO5
_cell_length_a 7.0931
_cell_length_b 7.0931
_cell_length_c 8.2916
_cell_angle_alpha 116.75
_cell_angle_beta 116.75
_cell_angle_gamma 101.68
_symmetry_space_group_name_H-M 'P 1'
_symmetry_Int_Tables_number 1
loop_
_symmetry_equiv_pos_as_xyz
'x,y,z'
loop_
_atom_site_label
_atom_site_fract_x
_atom_site_fract_y
_atom_site_fract_z
Pa1 0.0000 0.0000 0.5000
O1 0.0835 0.7256 0.8673
K1 0.3271 0.6729 0.2500
O2 0.4090 0.2781 0.2422
O3 0.2781 0.4090 0.7422
O4 0.5910 0.7219 0.7578
O5 0.7256 0.0835 0.3673
I1 0.3065 0.6935 0.7500
O6 0.0569 0.9431 0.2500
I2 0.6935 0.3065 0.2500
Pa2 0.0000 0.0000 0.0000
O7 0.9431 0.0569 0.7500
O8 0.2744 0.9165 0.6327
O9 0.9165 0.2744 0.1327
K2 0.6729 0.3271 0.7500
O10 0.7219 0.5910 0.2578
```

---

## KPaIO6 (PBE-GGA)

Data for a geometry-optimized KPaIO6 structure.

Summary:
E_form (uncorrected): -1747 meV/atom
theoretical density: 4.9 Mg/m³
D(E_F): 0.41 states/eV per atom

```
data_KPaIO6
_cell_length_a 5.7613
_cell_length_b 5.7613
_cell_length_c 11.6031
_cell_angle_alpha 90.00
_cell_angle_beta 90.00
_cell_angle_gamma 120.00
_symmetry_space_group_name_H-M 'P 1'
_symmetry_Int_Tables_number 1
loop_
_symmetry_equiv_pos_as_xyz
'x,y,z'
loop_
_atom_site_label
_atom_site_fract_x
_atom_site_fract_y
_atom_site_fract_z
I1 0.3333 0.6667 0.7500
O1 0.6303 0.0256 0.3457
K1 0.0000 0.0000 0.0000
Pa1 0.6667 0.3333 0.7500
I2 0.6667 0.3333 0.2500
O2 0.3953 0.3697 0.3457
O3 0.9744 0.6047 0.3457
O4 0.6303 0.6047 0.1543
O5 0.3953 0.0256 0.1543
O6 0.3697 0.9744 0.6543
O7 0.3697 0.3953 0.8457
K2 0.0000 0.0000 0.5000
O8 0.9744 0.3697 0.1543
O9 0.6047 0.9744 0.8457
O10 0.6047 0.6303 0.6543
O11 0.0256 0.3953 0.6543
Pa2 0.3333 0.6667 0.2500
O12 0.0256 0.6303 0.8457
```

---

## K2Pa2I2O5 (PBE-GGA)

Data for a geometry-optimized K2Pa2I2O5 structure.

Summary:
E_form (uncorrected): -2689 meV/atom
theoretical density: 5.3 Mg/m³
D(E_F): 0.00 states/eV per atom

```
data_K2Pa2I2O5
_cell_length_a 4.3526
_cell_length_b 4.3526
_cell_length_c 14.7569
_cell_angle_alpha 98.48
_cell_angle_beta 98.48
_cell_angle_gamma 90.00
_symmetry_space_group_name_H-M 'P 1'
_symmetry_Int_Tables_number 1
loop_
_symmetry_equiv_pos_as_xyz
'x,y,z'
loop_
_atom_site_label
_atom_site_fract_x
_atom_site_fract_y
_atom_site_fract_z
O1 0.9182 0.4182 0.8364
I1 0.1893 0.1893 0.3786
K1 0.6490 0.6490 0.2981
Pa1 0.9269 0.9269 0.8539
O2 0.0818 0.5818 0.1636
O3 0.4182 0.9182 0.8364
O4 0.5818 0.0818 0.1636
I2 0.8107 0.8107 0.6214
O5 0.0000 0.0000 0.0000
Pa2 0.0731 0.0731 0.1461
K2 0.3510 0.3510 0.7019
```

---

## K3Pa2I2O5 (PBE-GGA)

Data for a geometry-optimized K3Pa2I2O5 structure.

Summary:
E_form (uncorrected): -2533 meV/atom
theoretical density: 5.3 Mg/m³
D(E_F): 0.53 states/eV per atom

```
data_K3Pa2I2O5
_cell_length_a 4.4514
_cell_length_b 4.4514
_cell_length_c 14.7672
_cell_angle_alpha 98.67
_cell_angle_beta 98.67
_cell_angle_gamma 90.00
_symmetry_space_group_name_H-M 'P 1'
_symmetry_Int_Tables_number 1
loop_
_symmetry_equiv_pos_as_xyz
'x,y,z'
loop_
_atom_site_label
_atom_site_fract_x
_atom_site_fract_y
_atom_site_fract_z
O1 0.5780 0.0780 0.1561
O2 0.5000 0.5000 0.0000
O3 0.0780 0.5780 0.1561
Pa1 0.5753 0.5753 0.1506
K1 0.1499 0.1499 0.2997
K2 0.8501 0.8501 0.7003
O4 0.4220 0.9220 0.8439
Pa2 0.4247 0.4247 0.8494
O5 0.9220 0.4220 0.8439
K3 0.0000 0.0000 0.0000
I1 0.6905 0.6905 0.3809
I2 0.3095 0.3095 0.6191
```

---

## KPbIO2 (PBE-GGA)

Data for a geometry-optimized KPbIO2 structure.

Summary:
E_form (uncorrected): -637 meV/atom
theoretical density: 5.5 Mg/m³
D(E_F): 0.35 states/eV per atom
ΔE to the lowest computed polymorph: 0 meV/atom

```
data_KPbIO2
_cell_length_a 4.4696
_cell_length_b 4.4696
_cell_length_c 6.1567
_cell_angle_alpha 90.00
_cell_angle_beta 90.00
_cell_angle_gamma 90.00
_symmetry_space_group_name_H-M 'P 1'
_symmetry_Int_Tables_number 1
loop_
_symmetry_equiv_pos_as_xyz
'x,y,z'
loop_
_atom_site_label
_atom_site_fract_x
_atom_site_fract_y
_atom_site_fract_z
O1 0.5000 0.0000 0.0000
I1 0.0000 0.0000 0.5000
Pb1 0.0000 0.0000 0.0000
O2 0.0000 0.5000 0.0000
K1 0.5000 0.5000 0.5000
```

---

## KPb2IO2 (PBE-GGA)

Data for a geometry-optimized KPb2IO2 structure.

Summary:
E_form (uncorrected): -1122 meV/atom
theoretical density: 5.8 Mg/m³
D(E_F): 0.00 states/eV per atom

```
data_KPb2IO2
_cell_length_a 6.3680
_cell_length_b 7.4460
_cell_length_c 7.4485
_cell_angle_alpha 85.97
_cell_angle_beta 90.00
_cell_angle_gamma 90.00
_symmetry_space_group_name_H-M 'P 1'
_symmetry_Int_Tables_number 1
loop_
_symmetry_equiv_pos_as_xyz
'x,y,z'
loop_
_atom_site_label
_atom_site_fract_x
_atom_site_fract_y
_atom_site_fract_z
O1 0.0001 0.8259 0.8240
K1 0.7500 0.8878 0.1110
Pb1 0.2500 0.6281 0.8213
O2 0.4999 0.8259 0.8240
O3 0.9999 0.1741 0.1760
I1 0.2500 0.6508 0.3486
K2 0.2500 0.1122 0.8890
O4 0.5001 0.1741 0.1760
Pb2 0.2500 0.1765 0.3736
Pb3 0.7500 0.3719 0.1787
Pb4 0.7500 0.8235 0.6264
I2 0.7500 0.3492 0.6514
```

---

## KPb2IO6 (PBE-GGA)

Data for a geometry-optimized KPb2IO6 structure.

Summary:
E_form (uncorrected): -961 meV/atom
theoretical density: 6.7 Mg/m³
D(E_F): 0.00 states/eV per atom

```
data_KPb2IO6
_cell_length_a 5.7240
_cell_length_b 6.7446
_cell_length_c 8.7139
_cell_angle_alpha 90.00
_cell_angle_beta 89.18
_cell_angle_gamma 90.00
_symmetry_space_group_name_H-M 'P 1'
_symmetry_Int_Tables_number 1
loop_
_symmetry_equiv_pos_as_xyz
'x,y,z'
loop_
_atom_site_label
_atom_site_fract_x
_atom_site_fract_y
_atom_site_fract_z
O1 0.6574 0.2178 0.5923
I1 0.0000 0.5000 0.0000
O2 0.8426 0.7178 0.9077
O3 0.1574 0.2822 0.0923
I2 0.5000 0.0000 0.5000
Pb1 0.4907 0.4522 0.2246
O4 0.9094 0.5951 0.1999
O5 0.2898 0.6473 0.0073
O6 0.2102 0.1473 0.4927
Pb2 0.5093 0.5478 0.7754
O7 0.7102 0.3527 0.9927
O8 0.7898 0.8527 0.5073
O9 0.3426 0.7822 0.4077
O10 0.5906 0.0951 0.3001
K1 0.5000 0.0000 0.0000
O11 0.0906 0.4049 0.8001
Pb3 0.0093 0.9522 0.2754
O12 0.4094 0.9049 0.6999
Pb4 0.9907 0.0478 0.7246
K2 0.0000 0.5000 0.5000
```

---

## KPbI2O (PBE-GGA)

Data for a geometry-optimized KPbI2O structure.

Summary:
E_form (uncorrected): -809 meV/atom
theoretical density: 5.3 Mg/m³
D(E_F): 0.14 states/eV per atom
ΔE to the lowest computed polymorph: 0 meV/atom

```
data_KPbI2O
_cell_length_a 6.1994
_cell_length_b 6.1994
_cell_length_c 4.2345
_cell_angle_alpha 90.00
_cell_angle_beta 90.00
_cell_angle_gamma 90.00
_symmetry_space_group_name_H-M 'P 1'
_symmetry_Int_Tables_number 1
loop_
_symmetry_equiv_pos_as_xyz
'x,y,z'
loop_
_atom_site_label
_atom_site_fract_x
_atom_site_fract_y
_atom_site_fract_z
I1 0.0000 0.5000 0.0000
O1 0.0000 0.0000 0.5000
Pb1 0.0000 0.0000 0.0000
K1 0.5000 0.5000 0.5000
I2 0.5000 0.0000 0.0000
```

---

## KPbIO2 (PBE-GGA)

Data for a geometry-optimized KPbIO2 structure.

Summary:
E_form (uncorrected): 200 meV/atom
theoretical density: 4.6 Mg/m³
D(E_F): 0.58 states/eV per atom
ΔE to the lowest computed polymorph: 837 meV/atom

```
data_KPbIO2
_cell_length_a 4.8275
_cell_length_b 4.8275
_cell_length_c 6.3164
_cell_angle_alpha 90.00
_cell_angle_beta 90.00
_cell_angle_gamma 90.00
_symmetry_space_group_name_H-M 'P 1'
_symmetry_Int_Tables_number 1
loop_
_symmetry_equiv_pos_as_xyz
'x,y,z'
loop_
_atom_site_label
_atom_site_fract_x
_atom_site_fract_y
_atom_site_fract_z
I1 0.0000 0.0000 0.5000
O1 0.5000 0.0000 0.0000
O2 0.0000 0.5000 0.0000
Pb1 0.5000 0.5000 0.5000
K1 0.0000 0.0000 0.0000
```

---

## KPbI2O (PBE-GGA)

Data for a geometry-optimized KPbI2O structure.

Summary:
E_form (uncorrected): -64 meV/atom
theoretical density: 4.5 Mg/m³
D(E_F): 1.35 states/eV per atom
ΔE to the lowest computed polymorph: 745 meV/atom

```
data_KPbI2O
_cell_length_a 6.3481
_cell_length_b 6.3481
_cell_length_c 4.6894
_cell_angle_alpha 90.00
_cell_angle_beta 90.00
_cell_angle_gamma 90.00
_symmetry_space_group_name_H-M 'P 1'
_symmetry_Int_Tables_number 1
loop_
_symmetry_equiv_pos_as_xyz
'x,y,z'
loop_
_atom_site_label
_atom_site_fract_x
_atom_site_fract_y
_atom_site_fract_z
K1 0.0000 0.0000 0.0000
I1 0.5000 0.0000 0.0000
I2 0.0000 0.5000 0.0000
Pb1 0.5000 0.5000 0.5000
O1 0.0000 0.0000 0.5000
```

---

## KPdI2O (PBE-GGA)

Data for a geometry-optimized KPdI2O structure.

Summary:
E_form (uncorrected): -555 meV/atom
theoretical density: 5.0 Mg/m³
D(E_F): 0.41 states/eV per atom
ΔE to the lowest computed polymorph: 0 meV/atom

```
data_KPdI2O
_cell_length_a 5.8555
_cell_length_b 5.8555
_cell_length_c 3.9845
_cell_angle_alpha 90.00
_cell_angle_beta 90.00
_cell_angle_gamma 90.00
_symmetry_space_group_name_H-M 'P 1'
_symmetry_Int_Tables_number 1
loop_
_symmetry_equiv_pos_as_xyz
'x,y,z'
loop_
_atom_site_label
_atom_site_fract_x
_atom_site_fract_y
_atom_site_fract_z
K1 0.5000 0.5000 0.5000
Pd1 0.0000 0.0000 0.0000
I1 0.0000 0.5000 0.0000
I2 0.5000 0.0000 0.0000
O1 0.0000 0.0000 0.5000
```

---

## KPdI2O (PBE-GGA)

Data for a geometry-optimized KPdI2O structure.

Summary:
E_form (uncorrected): 604 meV/atom
theoretical density: 3.6 Mg/m³
D(E_F): 1.66 states/eV per atom
ΔE to the lowest computed polymorph: 1159 meV/atom

```
data_KPdI2O
_cell_length_a 6.3896
_cell_length_b 6.3896
_cell_length_c 4.7237
_cell_angle_alpha 90.00
_cell_angle_beta 90.00
_cell_angle_gamma 90.00
_symmetry_space_group_name_H-M 'P 1'
_symmetry_Int_Tables_number 1
loop_
_symmetry_equiv_pos_as_xyz
'x,y,z'
loop_
_atom_site_label
_atom_site_fract_x
_atom_site_fract_y
_atom_site_fract_z
I1 0.0000 0.5000 0.0000
K1 0.0000 0.0000 0.0000
I2 0.5000 0.0000 0.0000
Pd1 0.5000 0.5000 0.5000
O1 0.0000 0.0000 0.5000
```